# Li2HOs PBE-GGA optimized geometry
data_Li2HOs
_chemical_formula_sum 'Li4 H2 Os2'
_symmetry_space_group_name_H-M 'P 1'
_symmetry_Int_Tables_number 1
_cell_length_a 4.769
_cell_length_b 4.769
_cell_length_c 4.769
_cell_angle_alpha 120.18
_cell_angle_beta 120.18
_cell_angle_gamma 89.69
loop_
_symmetry_equiv_pos_as_xyz
'x,y,z'
loop_
_atom_site_label
_atom_site_type_symbol
_atom_site_fract_x
_atom_site_fract_y
_atom_site_fract_z
Li1 Li 0.000 0.000 0.000
Li2 Li 0.000 0.000 0.500
Li3 Li 0.000 0.500 0.000
Li4 Li 0.500 0.000 0.500
H1 H 0.125 0.875 0.250
H2 H 0.875 0.125 0.750
Os1 Os 0.375 0.625 0.750
Os2 Os 0.625 0.375 0.250
# **Magnetic moment**: 0.0 μB/f.u.
# **VASP energy**: -4.035 eV/atom
# **Space group**: I4_1/amd



# SrDyInSn PBE-GGA optimized geometry
data_SrDyInSn
_chemical_formula_sum 'Sr1 Dy1 In1 Sn1'
_symmetry_space_group_name_H-M 'P 1'
_symmetry_Int_Tables_number 1
_cell_length_a 5.516
_cell_length_b 5.516
_cell_length_c 5.516
_cell_angle_alpha 60.00
_cell_angle_beta 60.00
_cell_angle_gamma 60.00
loop_
_symmetry_equiv_pos_as_xyz
'x,y,z'
loop_
_atom_site_label
_atom_site_type_symbol
_atom_site_fract_x
_atom_site_fract_y
_atom_site_fract_z
Sr1 Sr 0.000 0.000 0.000
Dy1 Dy 0.500 0.500 0.500
In1 In 0.750 0.750 0.750
Sn1 Sn 0.250 0.250 0.250
# **Magnetic moment**: 0.0 μB/f.u.
# **E_form**: -0.448 eV/atom
# **VASP energy**: -3.704 eV/atom
# **Space group**: F-43m



# YSi2Ir PBE-GGA optimized geometry
data_YSi2Ir
_chemical_formula_sum 'Y1 Si2 Ir1'
_symmetry_space_group_name_H-M 'P 1'
_symmetry_Int_Tables_number 1
_cell_length_a 5.175
_cell_length_b 5.175
_cell_length_c 5.175
_cell_angle_alpha 134.83
_cell_angle_beta 134.83
_cell_angle_gamma 65.80
loop_
_symmetry_equiv_pos_as_xyz
'x,y,z'
loop_
_atom_site_label
_atom_site_type_symbol
_atom_site_fract_x
_atom_site_fract_y
_atom_site_fract_z
Y1 Y 0.000 0.000 0.000
Si1 Si 0.500 0.500 0.000
Si2 Si 0.750 0.250 0.500
Ir1 Ir 0.250 0.750 0.500
# **Magnetic moment**: 0.0 μB/f.u.
# **VASP energy**: -6.831 eV/atom
# **Space group**: I-4m2
# **Energy relative to the elements, uncorrected**: -289 meV per atom



# BaLaAg2 PBE-GGA optimized geometry
data_BaLaAg2
_chemical_formula_sum 'Ba2 La2 Ag4'
_symmetry_space_group_name_H-M 'P 1'
_symmetry_Int_Tables_number 1
_cell_length_a 7.163
_cell_length_b 7.163
_cell_length_c 7.163
_cell_angle_alpha 106.61
_cell_angle_beta 106.61
_cell_angle_gamma 115.37
loop_
_symmetry_equiv_pos_as_xyz
'x,y,z'
loop_
_atom_site_label
_atom_site_type_symbol
_atom_site_fract_x
_atom_site_fract_y
_atom_site_fract_z
Ba1 Ba 0.000 0.000 0.000
Ba2 Ba 0.750 0.250 0.500
La1 La 0.250 0.750 0.500
La2 La 0.500 0.500 0.000
Ag1 Ag 0.147 0.125 0.522
Ag2 Ag 0.375 0.853 0.978
Ag3 Ag 0.603 0.625 0.478
Ag4 Ag 0.875 0.397 0.022
# **Magnetic moment**: 0.0 μB/f.u.
# **E_form**: 0.081 eV/atom
# **VASP energy**: -3.057 eV/atom
# **Space group**: I-42d



# TlIn2GeBr5 PBE-GGA optimized geometry
data_TlIn2GeBr5
_chemical_formula_sum 'Tl2 In4 Ge2 Br10'
_symmetry_space_group_name_H-M 'P 1'
_symmetry_Int_Tables_number 1
_cell_length_a 9.643
_cell_length_b 9.643
_cell_length_c 17.224
_cell_angle_alpha 90.00
_cell_angle_beta 90.00
_cell_angle_gamma 154.43
loop_
_symmetry_equiv_pos_as_xyz
'x,y,z'
loop_
_atom_site_label
_atom_site_type_symbol
_atom_site_fract_x
_atom_site_fract_y
_atom_site_fract_z
Tl1 Tl 0.062 0.938 0.500
Tl2 Tl 0.938 0.062 0.000
In1 In 0.348 0.652 0.311
In2 In 0.443 0.557 0.715
In3 In 0.557 0.443 0.215
In4 In 0.652 0.348 0.811
Ge1 Ge 0.242 0.758 0.093
Ge2 Ge 0.758 0.242 0.593
Br1 Br 0.029 0.971 0.828
Br2 Br 0.103 0.897 0.075
Br3 Br 0.239 0.761 0.484
Br4 Br 0.262 0.738 0.708
Br5 Br 0.406 0.594 0.131
Br6 Br 0.594 0.406 0.631
Br7 Br 0.738 0.262 0.208
Br8 Br 0.761 0.239 0.984
Br9 Br 0.897 0.103 0.575
Br10 Br 0.971 0.029 0.328
# **Magnetic moment**: 0.0 μB/f.u.
# **VASP energy**: -2.957 eV/atom
# **Space group**: Cmc2_1
# **Energy relative to the elements, uncorrected**: -644 meV per atom



Question: Which value of magnetic moment does entry 1 give?
Answer: 0.0 μB/f.u.